(1)
# MnGeSbI2

A relaxed structure of MnGeSbI2 (PBE, Alexandria).

Its energy above the most stable polymorph in this dataset is 172 meV per atom. The calculation puts the calculated volume at 180.26 Å³ per cell. The uncorrected formation energy comes out at 63 kJ per mole of atoms.

Unit cell a=5.644 b=5.644 c=5.659 alpha=90.00 beta=90.00 gamma=90.00
Space group P4/mmm (No. 123)
Unique sites:
1 Mn 0.000 0.000 0.000 [1 per cell]
2 Ge 0.500 0.500 0.500 [1 per cell]
3 Sb 0.500 0.500 0.000 [1 per cell]
4 I 0.000 0.500 0.500 [2 per cell]



(2)
# MgMoW

A relaxed structure of MgMoW (PBE, Alexandria).

Its energy relative to the elements is 0.24 eV per atom. Its energy above the most stable polymorph in this dataset is 0 meV per atom. The calculation puts the calculated volume at 49.49 Å³ per cell.

Unit cell a=4.5825 b=4.5825 c=2.7216 alpha=90.00 beta=90.00 gamma=120.00
Space group P3m1 (No. 156)
Unique sites:
1 Mg 0.0000 0.0000 0.0000 [1 per cell]
2 Mo 0.3333 0.6667 0.3624 [1 per cell]
3 W 0.6667 0.3333 0.6200 [1 per cell]



(3)
# Cs2TcSe

A relaxed structure of Cs2TcSe (PBE, Alexandria).

Its energy above the most stable polymorph in this dataset is 0 meV per atom. The calculation puts the calculated volume at 829.25 Å³ per cell. The uncorrected formation energy comes out at 22 kJ per mole of atoms.

Unit cell a=13.246 b=13.246 c=4.726 alpha=90.00 beta=90.00 gamma=90.00
Space group I-42d (No. 122)
Unique sites:
1 Cs 0.063 0.750 0.125 [8 per cell]
2 Tc 0.000 0.000 0.000 [4 per cell]
3 Se 0.000 0.000 0.500 [4 per cell]



(4)
# Tb3AlGa

A relaxed structure of Tb3AlGa (PBE, Alexandria).

Its energy relative to the elements is -0.20 eV per atom. The calculation puts the calculated volume at 1130.60 Å³ per cell.

Unit cell a=10.938 b=17.217 c=6.004 alpha=90.00 beta=90.00 gamma=90.00
Space group Cmce (No. 64)
Unique sites:
1 Tb 0.000 0.138 0.181 [8 per cell]
2 Tb 0.224 0.000 0.000 [8 per cell]
3 Tb 0.250 0.179 0.750 [8 per cell]
4 Al 0.000 0.053 0.681 [8 per cell]
5 Ga 0.250 0.154 0.250 [8 per cell]